Na3Fe2Mo5O16: PBEsol geometry, SCAN.

Results
* D(E_F): 2.7 states/eV/f.u.
* space group: P-3m1
* formation energy without anion corrections: -2.05 eV per atom
* crystal system: trigonal

Lattice parameters (Å, degrees): 5.625 5.625 21.329 90.00 90.00 120.00
Element x y z (fractional)
1 Na 0.000 0.000 0.000
2 Na 0.000 0.000 0.500
3 Na 0.333 0.667 0.113
4 Na 0.333 0.667 0.613
5 Na 0.667 0.333 0.387
6 Na 0.667 0.333 0.887
7 Fe 0.000 0.000 0.146
8 Fe 0.000 0.000 0.353
9 Fe 0.000 0.000 0.647
10 Fe 0.000 0.000 0.854
11 Mo 0.032 0.516 0.753
12 Mo 0.333 0.667 0.428
13 Mo 0.333 0.667 0.927
14 Mo 0.484 0.516 0.753
15 Mo 0.484 0.968 0.753
16 Mo 0.516 0.032 0.247
17 Mo 0.516 0.484 0.247
18 Mo 0.667 0.333 0.073
19 Mo 0.667 0.333 0.572
20 Mo 0.968 0.484 0.247
21 O 0.154 0.307 0.908
22 O 0.154 0.846 0.908
23 O 0.156 0.312 0.406
24 O 0.156 0.844 0.406
25 O 0.161 0.322 0.696
26 O 0.161 0.839 0.696
27 O 0.163 0.326 0.197
28 O 0.163 0.837 0.197
29 O 0.307 0.154 0.092
30 O 0.312 0.156 0.594
31 O 0.322 0.161 0.304
32 O 0.326 0.163 0.803
33 O 0.333 0.667 0.009
34 O 0.333 0.667 0.296
35 O 0.333 0.667 0.509
36 O 0.333 0.667 0.818
37 O 0.667 0.333 0.182
38 O 0.667 0.333 0.491
39 O 0.667 0.333 0.704
40 O 0.667 0.333 0.991
41 O 0.674 0.837 0.197
42 O 0.678 0.839 0.696
43 O 0.688 0.844 0.406
44 O 0.693 0.846 0.908
45 O 0.837 0.163 0.803
46 O 0.837 0.674 0.803
47 O 0.839 0.161 0.304
48 O 0.839 0.678 0.304
49 O 0.844 0.156 0.594
50 O 0.844 0.688 0.594
51 O 0.846 0.154 0.092
52 O 0.846 0.693 0.092

MgCrCo2: PBEsol geometry, SCAN.

Results
* D(E_F): 3.1 states/eV/f.u.
* space group: P4/mmm
* energy of formation: 0.128 eV per atom
* crystal system: tetragonal

Lattice parameters (Å, degrees): 2.785 2.785 6.218 90.00 90.00 90.00
Element x y z (fractional)
1 Mg 0.000 0.000 0.000
2 Cr 0.000 0.000 0.500
3 Co 0.500 0.500 0.287
4 Co 0.500 0.500 0.713

TiRe2Cl: PBEsol geometry, SCAN.

Results
* D(E_F): 2.8 states/eV/f.u.
* space group: Fm-3m
* formation energy without anion corrections: 1.00 eV per atom
* crystal system: cubic

Lattice parameters (Å, degrees): 6.165 6.165 6.165 90.00 90.00 90.00
Element x y z (fractional)
1 Ti 0.000 0.000 0.000
2 Ti 0.000 0.500 0.500
3 Ti 0.500 0.000 0.500
4 Ti 0.500 0.500 0.000
5 Re 0.250 0.250 0.250
6 Re 0.250 0.250 0.750
7 Re 0.250 0.750 0.250
8 Re 0.250 0.750 0.750
9 Re 0.750 0.250 0.250
10 Re 0.750 0.250 0.750
11 Re 0.750 0.750 0.250
12 Re 0.750 0.750 0.750
13 Cl 0.000 0.000 0.500
14 Cl 0.000 0.500 0.000
15 Cl 0.500 0.000 0.000
16 Cl 0.500 0.500 0.500

TlAgF2: PBEsol geometry, SCAN.

Results
* D(E_F): 0.0 states/eV/f.u.
* space group: R-3m
* offset from the most stable computed form: 22.4 meV per atom
* formation energy without anion corrections: -1.34 eV per atom
* crystal system: trigonal

Lattice parameters (Å, degrees): 3.726 3.726 21.867 90.00 90.00 120.00
Element x y z (fractional)
1 Tl 0.000 0.000 0.000
2 Tl 0.333 0.667 0.667
3 Tl 0.667 0.333 0.333
4 Ag 0.000 0.000 0.500
5 Ag 0.333 0.667 0.167
6 Ag 0.667 0.333 0.833
7 F 0.000 0.000 0.407
8 F 0.000 0.000 0.593
9 F 0.333 0.667 0.074
10 F 0.333 0.667 0.259
11 F 0.667 0.333 0.741
12 F 0.667 0.333 0.926

YGe2Te2: PBEsol geometry, SCAN.

Results
* D(E_F): 1.6 states/eV/f.u.
* space group: I4/mmm
* formation energy without anion corrections: -0.43 eV per atom
* crystal system: tetragonal

Lattice parameters (Å, degrees): 3.819 3.819 17.288 90.00 90.00 90.00
Element x y z (fractional)
1 Y 0.000 0.000 0.000
2 Y 0.500 0.500 0.500
3 Ge 0.000 0.500 0.250
4 Ge 0.000 0.500 0.750
5 Ge 0.500 0.000 0.250
6 Ge 0.500 0.000 0.750
7 Te 0.000 0.000 0.403
8 Te 0.000 0.000 0.597
9 Te 0.500 0.500 0.097
10 Te 0.500 0.500 0.903

Tc2NiSeCl: PBEsol geometry, SCAN.

Results
* D(E_F): 5.2 states/eV/f.u.
* space group: P4/mmm
* formation energy without anion corrections: 1.48 eV per atom
* crystal system: tetragonal

Lattice parameters (Å, degrees): 4.540 4.540 5.095 90.00 90.00 90.00
Element x y z (fractional)
1 Tc 0.000 0.500 0.000
2 Tc 0.500 0.000 0.000
3 Ni 0.000 0.000 0.500
4 Se 0.500 0.500 0.000
5 Cl 0.500 0.500 0.500

La2YSc: PBEsol geometry, SCAN.

Results
* D(E_F): 5.4 states/eV/f.u.
* space group: P4mm
* energy of formation: 0.063 eV per atom
* offset from the most stable computed form: 15.7 meV per atom
* crystal system: tetragonal

Lattice parameters (Å, degrees): 3.550 3.550 9.636 90.00 90.00 90.00
Element x y z (fractional)
1 La 0.000 0.000 0.000
2 La 0.500 0.500 0.257
3 Y 0.500 0.500 0.725
4 Sc 0.000 0.000 0.499

InCoW2: PBEsol geometry, SCAN.

Results
* D(E_F): 3.0 states/eV/f.u.
* space group: I4/mmm
* energy of formation: 0.478 eV per atom
* crystal system: tetragonal

Lattice parameters (Å, degrees): 3.733 3.733 8.663 90.00 90.00 90.00
Element x y z (fractional)
1 In 0.000 0.000 0.000
2 In 0.500 0.500 0.500
3 Co 0.000 0.000 0.500
4 Co 0.500 0.500 0.000
5 W 0.000 0.500 0.250
6 W 0.000 0.500 0.750
7 W 0.500 0.000 0.250
8 W 0.500 0.000 0.750